Here is crystalline RbTmCoSe3 at its relaxed geometry from OQMD via LeMat-Bulk. Energies are from PBE-GGA.

Unit cell a=9.3944 b=4.0029 c=9.7853 alpha=90.00 beta=111.08 gamma=90.00
Last column: nearest neighbours and their distance in Å.
Space group P2_1/m (No. 11)
Asymmetric unit:
Rb  0.2099  0.2500  0.2394 (multiplicity 2)  7 Se 3.43-3.62
Tm  0.3295  0.7500  0.8585 (multiplicity 2)  6 Se 2.79-2.93
Co  0.0744  0.2500  0.5909 (multiplicity 2)  4 Se 2.33-2.41
Se  0.1143  0.2500  0.8482 (multiplicity 2)  1 Co 2.41
Se  0.1875  0.7500  0.5387 (multiplicity 2)  3 Co 2.33-2.41
Se  0.4678  0.7500  0.1633 (multiplicity 2)  3 Tm 2.79-2.82

Summary:
Total energy = -5.003 eV/atom
Total magnetization = 2.07 μB per formula unit
V = 171.7 Å³/f.u.